# 1
First-principles (PBE) data for crystalline TiIn2PtC at its relaxed geometry, as listed in the Alexandria database.

Cell: 4.5689 4.5689 4.0821 Å, 90.00 90.00 90.00°
Sites, in units of the cell vectors:
Ti 0.0000 0.0000 0.0000
In 0.0000 0.5000 0.5000
In 0.5000 0.0000 0.5000
Pt 0.5000 0.5000 0.0000
C 0.0000 0.0000 0.5000

## Properties
- energy of formation from the pure elements (eV/atom) = 0.185
- SG = P4/mmm, No. 123
- D(E_F) (states/eV per atom) = 0.391
- calculated volume (Å³ per cell) = 85


# 2
First-principles (PBE) data for crystalline InPt2WC at its relaxed geometry, as listed in the Alexandria database.

Cell: 4.0733 4.0733 4.8735 Å, 90.00 90.00 90.00°
Sites, in units of the cell vectors:
In 0.0000 0.0000 0.0000
Pt 0.0000 0.5000 0.5000
Pt 0.5000 0.0000 0.5000
W 0.5000 0.5000 0.0000
C 0.0000 0.0000 0.5000

## Properties
- energy of formation from the pure elements (eV/atom) = 0.997
- SG = P4/mmm, No. 123
- D(E_F) (states/eV per atom) = 0.983
- calculated volume (Å³ per cell) = 81


# 3
First-principles (PBE) data for crystalline Pu2InC at its relaxed geometry, as listed in the Alexandria database.

Cell: 3.4203 3.4203 8.7150 Å, 90.00 90.00 120.00°
Sites, in units of the cell vectors:
Pu 0.0000 0.0000 0.1674
Pu 0.0000 0.0000 0.8326
In 0.3333 0.6667 0.5000
C 0.6667 0.3333 0.0000

## Properties
- energy of formation from the pure elements (eV/atom) = 0.043
- SG = P-6m2, No. 187
- D(E_F) (states/eV per atom) = 2.769
- calculated volume (Å³ per cell) = 88


# 4
First-principles (PBE) data for crystalline Pu2InC at its relaxed geometry, as listed in the Alexandria database.

Cell: 6.0472 6.0472 6.0472 Å, 38.65 38.65 38.65°
Sites, in units of the cell vectors:
Pu 0.1908 0.1908 0.1908
Pu 0.8092 0.8092 0.8092
In 0.0000 0.0000 0.0000
C 0.5000 0.5000 0.5000

## Properties
- energy of formation from the pure elements (eV/atom) = 0.314
- SG = R-3m, No. 166
- D(E_F) (states/eV per atom) = 1.878
- calculated volume (Å³ per cell) = 78